[1]
First-principles (PBE-GGA) data for a relaxed Nd6HoTl3 crystal, as listed in Alexandria.

Structure (POSCAR):
```
Nd6HoTl3
1.0
5.3820 -7.9817 0.0000
5.3820 7.9817 0.0000
0.0000 0.0000 7.8521
Nd Ho Tl
12 2 6
Direct
0.0434 0.9566 0.5000
0.0848 0.4592 0.0065
0.2305 0.2997 0.3199
0.2997 0.2305 0.8199
0.2997 0.7004 0.3672
0.4592 0.0848 0.5065
0.5408 0.9152 0.0065
0.7004 0.2997 0.8672
0.7003 0.7695 0.3199
0.7695 0.7003 0.8199
0.9152 0.5408 0.5065
0.9566 0.0434 0.0000
0.1909 0.8091 0.8013
0.8091 0.1909 0.3013
0.0117 0.2826 0.6480
0.2826 0.0117 0.1480
0.4496 0.5504 0.0395
0.5504 0.4496 0.5395
0.7174 0.9883 0.6480
0.9883 0.7174 0.1480
```

Output
calculated formation energy: -99 meV/atom
raw total energy: -4.128 eV per atom
space-group type: Cmc2_1

[2]
First-principles (PBE-GGA) data for a relaxed Rb3Na2PmF9 crystal, as listed in Alexandria.

Structure (POSCAR):
```
Rb3Na2PmF9
1.0
6.3563 0.0000 0.0000
-3.1781 5.5047 0.0000
0.0000 0.0000 8.0715
Rb Na Pm F
3 2 1 9
Direct
0.0000 0.0000 0.0000
0.3333 0.6667 0.7096
0.6667 0.3333 0.2904
0.3333 0.6667 0.1767
0.6667 0.3333 0.8233
0.0000 0.0000 0.5000
0.0000 0.5000 0.0000
0.1629 0.3258 0.3308
0.1629 0.8371 0.3308
0.3258 0.1629 0.6692
0.5000 0.0000 0.0000
0.5000 0.5000 0.0000
0.6742 0.8371 0.3308
0.8371 0.1629 0.6692
0.8371 0.6742 0.6692
```

Output
raw formation energy: -2902 meV per atom
raw total energy: -4.711 eV per atom
space-group type: P-3m1

[3]
First-principles (PBE-GGA) data for a relaxed Tb2ZrSe5 crystal, as listed in Alexandria.

Structure (POSCAR):
```
Tb2ZrSe5
1.0
12.2353 0.0000 0.0000
0.0000 8.1212 0.0000
0.0000 0.0000 7.6466
Tb Zr Se
8 4 20
Direct
0.1799 0.0044 0.0209
0.1799 0.4956 0.0209
0.3201 0.5044 0.5209
0.3201 0.9956 0.5209
0.6799 0.0044 0.4791
0.6799 0.4956 0.4791
0.8201 0.5044 0.9791
0.8201 0.9956 0.9791
0.0057 0.7500 0.5805
0.4943 0.2500 0.0805
0.5057 0.7500 0.9195
0.9943 0.2500 0.4195
0.0029 0.7500 0.9503
0.0956 0.0382 0.6605
0.0956 0.4618 0.6605
0.1799 0.7500 0.3289
0.2084 0.2500 0.3080
0.2916 0.7500 0.8080
0.3201 0.2500 0.8289
0.4044 0.5382 0.1605
0.4044 0.9618 0.1605
0.4971 0.2500 0.4503
0.5029 0.7500 0.5497
0.5956 0.0382 0.8395
0.5956 0.4618 0.8395
0.6799 0.7500 0.1711
0.7084 0.2500 0.1920
0.7916 0.7500 0.6920
0.8201 0.2500 0.6711
0.9044 0.5382 0.3395
0.9044 0.9618 0.3395
0.9971 0.2500 0.0497
```

Output
offset from the most stable computed form: 0 meV/atom
raw formation energy: -1659 meV per atom
raw total energy: -6.063 eV per atom
space-group type: Pnma

[4]
First-principles (PBE-GGA) data for a relaxed CaMgSi2O6 crystal, as listed in Alexandria.

Structure (POSCAR):
```
CaMgSi2O6
1.0
9.8876 0.0000 0.0000
0.0000 8.3278 0.0000
-0.1363 0.0000 5.4283
Ca Mg Si O
4 4 8 24
Direct
0.2276 0.0514 0.4039
0.2276 0.4486 0.9039
0.7724 0.5514 0.0961
0.7724 0.9486 0.5961
0.2679 0.6657 0.3830
0.2679 0.8343 0.8830
0.7321 0.1657 0.1170
0.7321 0.3343 0.6170
0.0029 0.6704 0.5328
0.0029 0.8296 0.0328
0.4645 0.1528 0.7619
0.4645 0.3472 0.2619
0.5355 0.6528 0.7381
0.5355 0.8472 0.2381
0.9971 0.1704 0.9672
0.9971 0.3296 0.4672
0.0827 0.2301 0.7099
0.0827 0.2699 0.2099
0.1138 0.5089 0.5274
0.1138 0.9911 0.0274
0.1323 0.6913 0.0591
0.1323 0.8087 0.5591
0.3718 0.6455 0.7227
0.3718 0.8545 0.2227
0.3804 0.5092 0.2206
0.3804 0.9908 0.7206
0.4058 0.2387 0.0184
0.4058 0.2613 0.5184
0.5942 0.7387 0.4816
0.5942 0.7613 0.9816
0.6196 0.0092 0.2794
0.6196 0.4908 0.7794
0.6282 0.1455 0.7773
0.6282 0.3545 0.2773
0.8677 0.1913 0.4409
0.8677 0.3087 0.9409
0.8862 0.0089 0.9726
0.8862 0.4911 0.4726
0.9173 0.7301 0.7901
0.9173 0.7699 0.2901
```

Output
raw formation energy: -2848 meV per atom
raw total energy: -7.267 eV per atom
space-group type: P2_1/c

[5]
First-principles (PBE-GGA) data for a relaxed YHgCl crystal, as listed in Alexandria.

Structure (POSCAR):
```
YHgCl
1.0
-1.7414 1.7414 7.1300
1.7414 -1.7414 7.1300
1.7414 1.7414 -7.1300
Y Hg Cl
1 1 1
Direct
0.0000 0.0000 0.0000
0.3600 0.3600 0.0000
0.6076 0.6076 0.0000
```

Output
offset from the most stable computed form: 89 meV/atom
raw formation energy: -888 meV per atom
raw total energy: -3.758 eV per atom
space-group type: I4mm

[6]
First-principles (PBE-GGA) data for a relaxed CaCeGa3 crystal, as listed in Alexandria.

Structure (POSCAR):
```
CaCeGa3
1.0
2.1266 -13.1599 0.0000
2.1266 13.1599 0.0000
0.0000 0.0000 4.2674
Ca Ce Ga
2 2 6
Direct
0.2044 0.7956 0.7500
0.7956 0.2044 0.2500
0.0706 0.9294 0.2500
0.9294 0.0706 0.7500
0.3295 0.6705 0.7500
0.3824 0.6176 0.2500
0.4763 0.5237 0.2500
0.5237 0.4763 0.7500
0.6176 0.3824 0.7500
0.6705 0.3295 0.2500
```

Output
offset from the most stable computed form: 0 meV/atom
calculated formation energy: -538 meV/atom
raw total energy: -3.942 eV per atom
space-group type: Cmcm